{"formula": "GaGe2P", "functional": "PBE", "state": "relaxed", "ef_ev_per_atom": -0.042, "de_polymorph_ev_per_atom": 0.0000, "lattice": [[-2.8218, -1.6317, -4.6311], [2.7392, -4.9561, 0.0772], [-4.0754, -5.4733, 0.9490]], "species": ["Ga", "Ga", "Ge", "Ge", "Ge", "Ge", "P", "P"], "frac_coords": [[0.0000, 0.0000, 0.0000], [0.7500, 0.2500, 0.5000], [0.8750, 0.8657, 0.7500], [0.3750, 0.3843, 0.7500], [0.6157, 0.1250, 0.2500], [0.1343, 0.6250, 0.2500], [0.2500, 0.7500, 0.5000], [0.5000, 0.5000, 0.0000]]}